[1]
YSiMo, optimized geometry, DFT GGA-PBE; size of the total moment = 0.0 μB/f.u.; volume = 20.594 A^3/atom; formation energy from raw total energies = 0.004 eV per atom; energy = -7.57 eV/atom
1.0
3.5593 0.0000 0.0000
-1.7797 3.0825 0.0000
0.0000 0.0000 5.6310
Y Si Mo
1 1 1
Direct
0.0000 0.0000 0.0000
0.3333 0.6667 0.6350
0.6667 0.3333 0.4030


[2]
TcSbAs2, optimized geometry, DFT GGA-PBE; size of the total moment = 0.0 μB/f.u.; volume = 19.616 A^3/atom; formation energy from raw total energies = 0.024 eV per atom; energy = -5.92 eV/atom
1.0
3.2043 0.0000 0.0000
-1.6021 2.7750 0.0000
0.0000 0.0000 26.4728
Tc Sb As
3 3 6
Direct
0.0000 0.0000 0.0000
0.3333 0.6667 0.6667
0.6667 0.3333 0.3333
0.0000 0.0000 0.5000
0.3333 0.6667 0.1667
0.6667 0.3333 0.8333
0.0000 0.0000 0.2669
0.0000 0.0000 0.7331
0.3333 0.6667 0.3998
0.3333 0.6667 0.9336
0.6667 0.3333 0.0664
0.6667 0.3333 0.6002


The highest energy belongs to which entry? TcSbAs2


Among the records above, which one has the highest formation energy from raw total energies? TcSbAs2


Which of these has the highest volume? YSiMo


Which of these has the lowest formation energy from raw total energies? YSiMo